The following is a PBE calculation of crystalline Ca3PdRh at its relaxed geometry, from Alexandria via LeMat-Bulk.

Calculated values
ΔE_f	-463.3	meV/atom
relative energy among the computed polymorphs	0.000	eV per atom
space-group type	No. 69

Cell: 5.805 5.805 8.579 Å, 101.58 101.56 114.03°
Positions (direct):
Ca: 0.311 0.811 0.122
Ca: 0.689 0.189 0.878
Ca: 0.077 0.214 0.291
Ca: 0.923 0.786 0.709
Ca: 0.714 0.577 0.291
Ca: 0.286 0.423 0.709
Pd: 0.712 0.212 0.500
Pd: 0.288 0.788 0.500
Rh: 0.250 0.250 0.000
Rh: 0.750 0.750 0.000

The following is a PBE calculation of crystalline CaPd2Rh2 at its relaxed geometry, from Alexandria via LeMat-Bulk.

Calculated values
ΔE_f	-112.4	meV/atom
relative energy among the computed polymorphs	0.000	eV per atom
space-group type	No. 127

Cell: 7.690 7.690 2.912 Å, 90.00 90.00 90.00°
Positions (direct):
Ca: 0.000 0.000 0.000
Ca: 0.500 0.500 0.000
Rh: 0.382 0.882 0.000
Rh: 0.882 0.618 0.000
Rh: 0.618 0.118 0.000
Rh: 0.118 0.382 0.000
Pd: 0.181 0.681 0.500
Pd: 0.681 0.819 0.500
Pd: 0.819 0.319 0.500
Pd: 0.319 0.181 0.500

The following is a PBE calculation of crystalline Ca3PdRh at its relaxed geometry, from Alexandria via LeMat-Bulk.

Calculated values
ΔE_f	-127.1	meV/atom
relative energy among the computed polymorphs	0.336	eV per atom
space-group type	No. 221

Cell: 5.316 5.316 5.316 Å, 90.00 90.00 90.00°
Positions (direct):
Ca: 0.000 0.500 0.000
Ca: 0.000 0.000 0.500
Ca: 0.500 0.000 0.000
Rh: 0.000 0.000 0.000
Pd: 0.500 0.500 0.500

The following is a PBE calculation of crystalline Ca2PdRh2 at its relaxed geometry, from Alexandria via LeMat-Bulk.

Calculated values
ΔE_f	-359.3	meV/atom
space-group type	No. 127

Cell: 6.844 6.844 4.351 Å, 90.00 90.00 90.00°
Positions (direct):
Ca: 0.179 0.679 0.500
Ca: 0.679 0.821 0.500
Ca: 0.821 0.321 0.500
Ca: 0.321 0.179 0.500
Rh: 0.372 0.872 0.000
Rh: 0.872 0.628 0.000
Rh: 0.628 0.128 0.000
Rh: 0.128 0.372 0.000
Pd: 0.000 0.000 0.000
Pd: 0.500 0.500 0.000

The following is a PBE calculation of crystalline Ca6Pd5Rh at its relaxed geometry, from Alexandria via LeMat-Bulk.

Calculated values
ΔE_f	-604.9	meV/atom
space-group type	No. 10

Cell: 5.028 6.838 7.943 Å, 90.00 108.30 90.00°
Positions (direct):
Ca: 0.835 0.752 0.671
Ca: 0.835 0.248 0.671
Ca: 0.500 0.247 0.000
Ca: 0.500 0.753 0.000
Ca: 0.165 0.752 0.329
Ca: 0.165 0.248 0.329
Rh: 0.000 0.000 0.000
Pd: 0.669 0.500 0.337
Pd: 0.332 0.000 0.666
Pd: 0.000 0.500 0.000
Pd: 0.668 0.000 0.334
Pd: 0.331 0.500 0.663

The following is a PBE calculation of crystalline CaPdRh at its relaxed geometry, from Alexandria via LeMat-Bulk.

Calculated values
ΔE_f	-264.5	meV/atom
relative energy among the computed polymorphs	0.278	eV per atom
space-group type	No. 12

Cell: 5.177 5.177 6.007 Å, 84.01 128.13 113.86°
Positions (direct):
Ca: 0.236 0.626 0.861
Ca: 0.764 0.374 0.139
Pd: 0.000 0.000 0.500
Pd: 0.500 0.500 0.500
Rh: 0.266 0.962 0.228
Rh: 0.734 0.038 0.772

- Look up the ΔE_f of the third one.
  -127.1 meV/atom